No. 1
Compound: TlCrSbRh2
Source: Alexandria
Functional: PBE-GGA
Structure: relaxed

Lattice parameters (Å, degrees): 4.611 4.611 4.936 90.00 90.00 90.00
Fractional coordinates of all 5 atoms:
Tl: 0.000 0.000 0.000
Cr: 0.500 0.500 0.500
Sb: 0.500 0.500 0.000
Rh: 0.000 0.500 0.500
Rh: 0.500 0.000 0.500

Results
As for the mass density: 9.24 g cm⁻³. As for the total energy: -5.4549 eV per atom. The density of states at the Fermi level comes out at 5.4 states/eV/f.u. The calculation puts the formation energy without anion corrections at 68.32 kJ per mole of atoms. The total magnetic moment is 0.0 μB/f.u.



No. 2
Compound: Ca2InHg4Pb
Source: Alexandria
Functional: PBE-GGA
Structure: relaxed

Lattice parameters (Å, degrees): 9.133 9.133 9.133 33.70 33.70 33.70
Fractional coordinates of all 8 atoms:
Ca: 0.250 0.250 0.250
Ca: 0.750 0.750 0.750
In: 0.000 0.000 0.000
Hg: 0.122 0.122 0.122
Hg: 0.373 0.373 0.373
Hg: 0.627 0.627 0.627
Hg: 0.878 0.878 0.878
Pb: 0.500 0.500 0.500

Results
As for the mass density: 9.57 g cm⁻³. As for the total energy: -1.8292 eV per atom. The density of states at the Fermi level comes out at 3.7 states/eV/f.u. The total magnetic moment is 0.0 μB/f.u.



The lowest mass density belongs to which entry? TlCrSbRh2



Look up the mass density of the second one. 9.57 g cm⁻³